(1)
# Pr3Tl3Cd2 | the Alexandria database | PBE | optimized geometry
data_Pr3Tl3Cd2
_cell_length_a 19.571
_cell_length_b 4.685
_cell_length_c 5.107
_cell_angle_alpha 90.00
_cell_angle_beta 105.10
_cell_angle_gamma 90.00
_space_group_name_H-M_alt 'C 1 2/m 1'
_space_group_IT_number 12
_space_group_name_Hall '-C 2y'
loop_
_atom_site_label
_atom_site_type_symbol
_atom_site_fract_x
_atom_site_fract_y
_atom_site_fract_z
Pr1 Pr 0.000 0.000 0.000
Pr2 Pr 0.138 0.000 0.636
Tl1 Tl 0.000 0.500 0.500
Tl2 Tl 0.132 0.500 0.131
Cd1 Cd 0.244 0.000 0.243
# - ΔE_f: -0.310 eV per atom
# - Calculated total energy: -51.49 eV for the cell shown

---

(2)
# Pr2TlCd5 | the Alexandria database | PBE | optimized geometry
data_Pr2TlCd5
_cell_length_a 4.752
_cell_length_b 17.932
_cell_length_c 9.988
_cell_angle_alpha 90.00
_cell_angle_beta 90.00
_cell_angle_gamma 90.00
_space_group_name_H-M_alt 'C m c m'
_space_group_IT_number 63
_space_group_name_Hall '-C 2c 2'
loop_
_atom_site_label
_atom_site_type_symbol
_atom_site_fract_x
_atom_site_fract_y
_atom_site_fract_z
Pr1 Pr 0.000 0.000 0.000
Pr2 Pr 0.000 0.197 0.250
Tl1 Tl 0.000 0.455 0.750
Cd1 Cd 0.000 0.192 0.605
Cd2 Cd 0.000 0.353 0.529
Cd3 Cd 0.000 0.389 0.250
# - ΔE_f: -0.257 eV per atom
# - Calculated total energy: -74.22 eV for the cell shown

---

(3)
# Pr2Tl3Cd3 | the Alexandria database | PBE | optimized geometry
data_Pr2Tl3Cd3
_cell_length_a 4.778
_cell_length_b 4.849
_cell_length_c 9.331
_cell_angle_alpha 90.00
_cell_angle_beta 90.00
_cell_angle_gamma 90.00
_space_group_name_H-M_alt 'P m m m'
_space_group_IT_number 47
_space_group_name_Hall '-P 2 2'
loop_
_atom_site_label
_atom_site_type_symbol
_atom_site_fract_x
_atom_site_fract_y
_atom_site_fract_z
Pr1 Pr 0.000 0.000 0.249
Tl1 Tl 0.000 0.500 0.000
Tl2 Tl 0.500 0.000 0.000
Tl3 Tl 0.500 0.000 0.500
Cd1 Cd 0.000 0.500 0.500
Cd2 Cd 0.500 0.500 0.258
# - ΔE_f: -0.302 eV per atom
# - Calculated total energy: -21.82 eV for the cell shown

---

(4)
# Pr6TlCd5 | the Alexandria database | PBE | optimized geometry
data_Pr6TlCd5
_cell_length_a 5.493
_cell_length_b 16.519
_cell_length_c 7.806
_cell_angle_alpha 90.00
_cell_angle_beta 90.00
_cell_angle_gamma 90.00
_space_group_name_H-M_alt 'C m m m'
_space_group_IT_number 65
_space_group_name_Hall '-C 2 2'
loop_
_atom_site_label
_atom_site_type_symbol
_atom_site_fract_x
_atom_site_fract_y
_atom_site_fract_z
Pr1 Pr 0.000 0.000 0.249
Pr2 Pr 0.000 0.333 0.249
Tl1 Tl 0.000 0.500 0.500
Cd1 Cd 0.000 0.167 0.000
Cd2 Cd 0.000 0.169 0.500
Cd3 Cd 0.000 0.500 0.000
# - ΔE_f: -0.328 eV per atom
# - Calculated total energy: -79.12 eV for the cell shown

---

(5)
# Pr4Tl2Cd | the Alexandria database | PBE | optimized geometry
data_Pr4Tl2Cd
_cell_length_a 7.631
_cell_length_b 6.758
_cell_length_c 9.350
_cell_angle_alpha 90.00
_cell_angle_beta 110.17
_cell_angle_gamma 90.00
_space_group_name_H-M_alt 'P 1 21/m 1'
_space_group_IT_number 11
_space_group_name_Hall '-P 2yb'
loop_
_atom_site_label
_atom_site_type_symbol
_atom_site_fract_x
_atom_site_fract_y
_atom_site_fract_z
Pr1 Pr 0.078 0.250 0.047
Pr2 Pr 0.166 0.007 0.722
Pr3 Pr 0.326 0.750 0.345
Tl1 Tl 0.222 0.250 0.436
Tl2 Tl 0.439 0.750 0.039
Cd1 Cd 0.495 0.250 0.282
# - ΔE_f: -0.161 eV per atom
# - Calculated total energy: -51.79 eV for the cell shown

---

(6)
# Pr2TlCd2 | the Alexandria database | PBE | optimized geometry
data_Pr2TlCd2
_cell_length_a 5.3985
_cell_length_b 5.3985
_cell_length_c 16.9060
_cell_angle_alpha 90.00
_cell_angle_beta 90.00
_cell_angle_gamma 120.00
_space_group_name_H-M_alt 'R -3 m'
_space_group_IT_number 166
_space_group_name_Hall '-R 3 2"'
loop_
_atom_site_label
_atom_site_type_symbol
_atom_site_fract_x
_atom_site_fract_y
_atom_site_fract_z
Pr1 Pr 0.0000 0.0000 0.2276
Tl1 Tl 0.0000 0.0000 0.0000
Cd1 Cd 0.0000 0.0000 0.4161
# - ΔE_f: -0.220 eV per atom
# - Calculated total energy: -44.56 eV for the cell shown